Entry 1:
# Ca6BiSb3 | the Alexandria database | GGA-PBE | optimized geometry
data_Ca6BiSb3
_symmetry_space_group_name_H-M 'P 1'
_symmetry_Int_Tables_number 1
_cell_length_a 9.754
_cell_length_b 9.754
_cell_length_c 7.942
_cell_angle_alpha 90.00
_cell_angle_beta 90.00
_cell_angle_gamma 104.38
loop_
_symmetry_equiv_pos_as_xyz
'x,y,z'
loop_
_atom_site_label
_atom_site_fract_x
_atom_site_fract_y
_atom_site_fract_z
_atom_site_occupancy
Ca1 0.011 0.989 0.500 1
Ca2 0.098 0.564 0.539 1
Ca3 0.222 0.778 0.139 1
Ca4 0.311 0.356 0.066 1
Ca5 0.356 0.311 0.566 1
Ca6 0.436 0.902 0.539 1
Ca7 0.564 0.098 0.039 1
Ca8 0.644 0.689 0.066 1
Ca9 0.689 0.644 0.566 1
Ca10 0.778 0.222 0.639 1
Ca11 0.902 0.436 0.039 1
Ca12 0.989 0.011 0.000 1
Bi1 0.165 0.835 0.772 1
Bi2 0.835 0.165 0.272 1
Sb1 0.085 0.303 0.777 1
Sb2 0.303 0.085 0.277 1
Sb3 0.400 0.600 0.342 1
Sb4 0.600 0.400 0.842 1
Sb5 0.697 0.915 0.777 1
Sb6 0.915 0.697 0.277 1
# Space group   Cmc2_1, No. 36
# M_tot   0.0 μB/f.u.
# Crystal system   orthorhombic
# DFT total energy   -3.72 eV per atom
# ρ   3.70 g/cm³
# Raw formation energy   -0.90 eV per atom

---

Entry 2:
# SrThAl4 | the Alexandria database | GGA-PBE | optimized geometry
data_SrThAl4
_symmetry_space_group_name_H-M 'P 1'
_symmetry_Int_Tables_number 1
_cell_length_a 5.746
_cell_length_b 5.746
_cell_length_c 5.746
_cell_angle_alpha 60.00
_cell_angle_beta 60.00
_cell_angle_gamma 60.00
loop_
_symmetry_equiv_pos_as_xyz
'x,y,z'
loop_
_atom_site_label
_atom_site_fract_x
_atom_site_fract_y
_atom_site_fract_z
_atom_site_occupancy
Sr1 0.000 0.000 0.000 1
Th1 0.250 0.250 0.250 1
Al1 0.127 0.624 0.624 1
Al2 0.624 0.127 0.624 1
Al3 0.624 0.624 0.127 1
Al4 0.624 0.624 0.624 1
# Space group   F-43m, No. 216
# M_tot   0.0 μB/f.u.
# ΔE to the lowest computed polymorph   0.045 eV per formula unit
# Crystal system   cubic
# DFT total energy   -4.30 eV per atom
# ρ   5.29 g/cm³
# Energy relative to the elements   -286.6 meV/atom